# 1
The following is a DFT calculation (PBE-GGA) of a relaxed Rb2PmMnSe4 crystal.

Values from the calculation:
For the total energy, the calculation gives -4.814 eV/atom. As for the calculated volume: 482 Å³/cell. Its density of states at the Fermi level is 2.27 states/eV/cell.

Cell lengths 8.873, 8.873, 8.839 Å; angles 119.88, 119.88, 92.60 degrees
Element x y z (fractional)
Rb (0.500, 0.000, 0.000)
Rb (0.500, 0.000, 0.500)
Rb (0.000, 0.000, 0.500)
Rb (0.500, 0.500, 0.000)
Pm (0.000, 0.500, 0.000)
Pm (0.000, 0.500, 0.500)
Mn (0.500, 0.500, 0.500)
Mn (0.000, 0.000, 0.000)
Se (0.211, 0.734, 0.973)
Se (0.766, 0.289, 0.527)
Se (0.234, 0.711, 0.473)
Se (0.789, 0.266, 0.027)
Se (0.762, 0.738, 0.932)
Se (0.762, 0.738, 0.568)
Se (0.238, 0.262, 0.432)
Se (0.238, 0.262, 0.068)



# 2
The following is a DFT calculation (PBE-GGA) of a relaxed Ca2Zn2GaAg5 crystal.

Values from the calculation:
For the total energy, the calculation gives -2.554 eV/atom. The value obtained for the formation energy is -170.8 meV per atom. As for the calculated volume: 408 Å³/cell. Its density of states at the Fermi level is 8.73 states/eV/cell.

Cell lengths 3.840, 10.313, 10.313 Å; angles 90.00, 90.00, 90.00 degrees
Element x y z (fractional)
Ca (0.000, 0.677, 0.177)
Ca (0.000, 0.323, 0.823)
Ca (0.000, 0.177, 0.323)
Ca (0.000, 0.823, 0.677)
Zn (0.000, 0.122, 0.622)
Zn (0.000, 0.878, 0.378)
Zn (0.000, 0.622, 0.878)
Zn (0.000, 0.378, 0.122)
Ga (0.000, 0.000, 0.000)
Ga (0.000, 0.500, 0.500)
Ag (0.500, 0.198, 0.058)
Ag (0.500, 0.802, 0.942)
Ag (0.500, 0.058, 0.802)
Ag (0.500, 0.698, 0.442)
Ag (0.500, 0.942, 0.198)
Ag (0.500, 0.302, 0.558)
Ag (0.500, 0.558, 0.698)
Ag (0.500, 0.442, 0.302)
Ag (0.500, 0.500, 0.000)
Ag (0.500, 0.000, 0.500)



# 3
The following is a DFT calculation (PBE-GGA) of a relaxed RuPt crystal.

Values from the calculation:
For the total energy, the calculation gives -7.601 eV/atom. The value obtained for the formation energy is 57.0 meV per atom. As for the calculated volume: 118 Å³/cell. Its density of states at the Fermi level is 11.39 states/eV/cell.

Cell lengths 4.808, 4.466, 5.511 Å; angles 90.00, 90.00, 90.00 degrees
Element x y z (fractional)
Pt (0.093, 0.250, 0.121)
Pt (0.407, 0.750, 0.621)
Pt (0.593, 0.250, 0.379)
Pt (0.907, 0.750, 0.879)
Ru (0.082, 0.250, 0.627)
Ru (0.418, 0.750, 0.127)
Ru (0.582, 0.250, 0.873)
Ru (0.918, 0.750, 0.373)



# 4
The following is a DFT calculation (PBE-GGA) of a relaxed Zn12Hg5Bi3 crystal.

Values from the calculation:
For the total energy, the calculation gives -1.180 eV/atom. The value obtained for the formation energy is 241.9 meV per atom. As for the calculated volume: 2125 Å³/cell. Its density of states at the Fermi level is 32.41 states/eV/cell.

Cell lengths 14.028, 14.028, 14.028 Å; angles 109.47, 109.47, 109.47 degrees
Element x y z (fractional)
Bi (0.750, 0.375, 0.125)
Bi (0.875, 0.750, 0.125)
Bi (0.375, 0.750, 0.625)
Bi (0.250, 0.125, 0.375)
Bi (0.875, 0.125, 0.250)
Bi (0.375, 0.625, 0.250)
Bi (0.625, 0.375, 0.750)
Bi (0.125, 0.875, 0.750)
Bi (0.750, 0.875, 0.625)
Bi (0.625, 0.250, 0.375)
Bi (0.125, 0.250, 0.875)
Bi (0.250, 0.625, 0.875)
Hg (0.125, 0.375, 0.250)
Hg (0.000, 0.500, 0.000)
Hg (0.000, 0.000, 0.000)
Hg (0.375, 0.250, 0.125)
Hg (0.500, 0.000, 0.500)
Hg (0.500, 0.500, 0.000)
Hg (0.125, 0.750, 0.375)
Hg (0.750, 0.125, 0.875)
Hg (0.750, 0.625, 0.375)
Hg (0.375, 0.125, 0.750)
Hg (0.625, 0.875, 0.250)
Hg (0.500, 0.500, 0.500)
Hg (0.500, 0.000, 0.000)
Hg (0.000, 0.000, 0.500)
Hg (0.250, 0.375, 0.625)
Hg (0.250, 0.875, 0.125)
Hg (0.000, 0.500, 0.500)
Hg (0.875, 0.250, 0.625)
Hg (0.625, 0.750, 0.875)
Hg (0.875, 0.625, 0.750)
Zn (0.724, 0.136, 0.060)
Zn (0.336, 0.560, 0.424)
Zn (0.940, 0.364, 0.276)
Zn (0.560, 0.224, 0.136)
Zn (0.588, 0.724, 0.664)
Zn (0.940, 0.576, 0.164)
Zn (0.336, 0.776, 0.412)
Zn (0.076, 0.912, 0.136)
Zn (0.576, 0.940, 0.664)
Zn (0.724, 0.588, 0.164)
Zn (0.776, 0.440, 0.364)
Zn (0.836, 0.924, 0.060)
Zn (0.136, 0.724, 0.560)
Zn (0.364, 0.424, 0.088)
Zn (0.088, 0.924, 0.364)
Zn (0.412, 0.136, 0.576)
Zn (0.088, 0.164, 0.224)
Zn (0.440, 0.664, 0.076)
Zn (0.836, 0.912, 0.276)
Zn (0.136, 0.412, 0.076)
Zn (0.364, 0.940, 0.776)
Zn (0.576, 0.636, 0.412)
Zn (0.924, 0.836, 0.560)
Zn (0.776, 0.336, 0.912)
Zn (0.424, 0.364, 0.588)
Zn (0.076, 0.164, 0.440)
Zn (0.224, 0.664, 0.088)
Zn (0.164, 0.088, 0.724)
Zn (0.636, 0.060, 0.224)
Zn (0.864, 0.588, 0.924)
Zn (0.560, 0.336, 0.924)
Zn (0.588, 0.864, 0.424)
Zn (0.912, 0.836, 0.776)
Zn (0.912, 0.076, 0.636)
Zn (0.864, 0.276, 0.440)
Zn (0.164, 0.076, 0.940)
Zn (0.636, 0.576, 0.912)
Zn (0.424, 0.060, 0.336)
Zn (0.276, 0.412, 0.836)
Zn (0.224, 0.560, 0.636)
Zn (0.924, 0.088, 0.864)
Zn (0.664, 0.224, 0.588)
Zn (0.440, 0.776, 0.864)
Zn (0.060, 0.424, 0.836)
Zn (0.412, 0.276, 0.336)
Zn (0.060, 0.636, 0.724)
Zn (0.664, 0.440, 0.576)
Zn (0.276, 0.864, 0.940)



# 5
The following is a DFT calculation (PBE-GGA) of a relaxed Tl2InSe crystal.

Values from the calculation:
The excess energy over the best structure of this formula in the dataset is 62.1 meV/atom. For the total energy, the calculation gives -2.905 eV/atom. As for the calculated volume: 116 Å³/cell. Its density of states at the Fermi level is 1.05 states/eV/cell.

Cell lengths 8.542, 4.927, 4.778 Å; angles 90.49, 55.30, 126.21 degrees
Element x y z (fractional)
In (0.000, 0.500, 0.500)
Se (0.500, 0.500, 0.000)
Tl (0.000, 0.000, 0.000)
Tl (0.500, 0.000, 0.500)



# 6
The following is a DFT calculation (PBE-GGA) of a relaxed CeMg2Ag2 crystal.

Values from the calculation:
The excess energy over the best structure of this formula in the dataset is 8.6 meV/atom. For the total energy, the calculation gives -3.088 eV/atom. The value obtained for the formation energy is -123.3 meV per atom. As for the calculated volume: 214 Å³/cell. Its density of states at the Fermi level is 15.29 states/eV/cell.

Cell lengths 3.001, 8.440, 8.440 Å; angles 90.00, 90.00, 90.00 degrees
Element x y z (fractional)
Ce (0.000, 0.000, 0.000)
Ce (0.000, 0.500, 0.500)
Mg (0.000, 0.376, 0.876)
Mg (0.000, 0.876, 0.624)
Mg (0.000, 0.624, 0.124)
Mg (0.000, 0.124, 0.376)
Ag (0.500, 0.172, 0.672)
Ag (0.500, 0.672, 0.828)
Ag (0.500, 0.828, 0.328)
Ag (0.500, 0.328, 0.172)



# 7
The following is a DFT calculation (PBE-GGA) of a relaxed CaLaGd crystal.

Values from the calculation:
For the total energy, the calculation gives -6.963 eV/atom. The value obtained for the formation energy is 39.9 meV per atom. As for the calculated volume: 111 Å³/cell. Its density of states at the Fermi level is 4.04 states/eV/cell.

Cell lengths 3.724, 3.724, 8.402 Å; angles 102.80, 102.80, 90.00 degrees
Element x y z (fractional)
Ca (0.998, 0.998, 0.996)
Gd (0.326, 0.326, 0.652)
La (0.676, 0.676, 0.353)



# 8
The following is a DFT calculation (PBE-GGA) of a relaxed MgTi2TeOs crystal.

Values from the calculation:
For the total energy, the calculation gives -6.128 eV/atom. As for the calculated volume: 115 Å³/cell. Its density of states at the Fermi level is 4.21 states/eV/cell.

Cell lengths 4.735, 5.117, 4.735 Å; angles 90.00, 90.00, 90.00 degrees
Element x y z (fractional)
Mg (0.000, 0.500, 0.000)
Te (0.500, 0.500, 0.500)
Os (0.000, 0.000, 0.000)
Ti (0.000, 0.000, 0.500)
Ti (0.500, 0.000, 0.000)



# 9
The following is a DFT calculation (PBE-GGA) of a relaxed PrZr2MnN4 crystal.

Values from the calculation:
For the total energy, the calculation gives -9.306 eV/atom. As for the calculated volume: 205 Å³/cell. Its density of states at the Fermi level is 6.82 states/eV/cell.

Cell lengths 3.291, 5.843, 11.108 Å; angles 90.00, 90.00, 106.36 degrees
Element x y z (fractional)
Pr (0.101, 0.202, 0.750)
Pr (0.899, 0.798, 0.250)
Zr (0.368, 0.735, 0.547)
Zr (0.632, 0.265, 0.047)
Zr (0.632, 0.265, 0.453)
Zr (0.368, 0.735, 0.953)
Mn (0.839, 0.677, 0.750)
Mn (0.161, 0.323, 0.250)
N (0.266, 0.532, 0.118)
N (0.734, 0.468, 0.618)
N (0.734, 0.468, 0.882)
N (0.266, 0.532, 0.382)
N (0.000, 0.000, 0.500)
N (0.000, 0.000, 0.000)
N (0.425, 0.849, 0.750)
N (0.575, 0.151, 0.250)



# 10
The following is a DFT calculation (PBE-GGA) of a relaxed Dy4YHoS8 crystal.

Values from the calculation:
For the total energy, the calculation gives -6.397 eV/atom. As for the calculated volume: 368 Å³/cell. Its density of states at the Fermi level is 8.54 states/eV/cell.

Cell lengths 8.042, 8.042, 8.043 Å; angles 60.00, 60.00, 60.00 degrees
Element x y z (fractional)
Dy (0.625, 0.625, 0.125)
Dy (0.000, 0.500, 0.500)
Dy (0.500, 0.000, 0.500)
Dy (0.000, 0.000, 0.500)
Y (0.000, 0.000, 0.000)
Ho (0.375, 0.375, 0.875)
S (0.244, 0.771, 0.742)
S (0.771, 0.244, 0.742)
S (0.244, 0.244, 0.742)
S (0.243, 0.243, 0.271)
S (0.757, 0.228, 0.258)
S (0.228, 0.757, 0.258)
S (0.757, 0.757, 0.258)
S (0.758, 0.758, 0.727)